[1]
Pm2Pu2Pt3 | PBE | optimized geometry

Results
The total energy is -8.832 eV/atom. As for the symmetry: No. 2. For the volume, the calculation gives 25.322 Å³/atom. The crystal system is triclinic. As for the magnetic moment: 11.50 μB per cell.

Unit cell a=4.536 b=7.565 c=5.592 alpha=76.35 beta=90.03 gamma=107.57
Each line ends with the local moment (μB).
Sites, in units of the cell vectors:
Pu: 0.100 0.202 0.448  5.40
Pu: 0.900 0.798 0.552  5.40
Pm: 0.643 0.286 0.920  0.05
Pm: 0.357 0.714 0.080  0.05
Pt: 0.000 0.000 0.000  0.02
Pt: 0.726 0.453 0.354  -0.04
Pt: 0.274 0.547 0.646  -0.04


[2]
PmPuPt2 | PBE | optimized geometry

Results
The total energy is -8.618 eV/atom. As for the symmetry: No. 160. For the volume, the calculation gives 25.115 Å³/atom. The crystal system is trigonal. As for the magnetic moment: 5.29 μB per cell.

Unit cell a=4.092 b=4.092 c=7.320 alpha=73.77 beta=73.77 gamma=60.00
Each line ends with the local moment (μB).
Sites, in units of the cell vectors:
Pu: 0.669 0.669 0.993  5.07
Pt: 0.254 0.254 0.238  -0.07
Pt: 0.080 0.080 0.759  -0.05
Pm: 0.497 0.497 0.509  0.06


> Look up the magnetic moment of the second one.

5.29 μB per cell